Here is an optimized crystal structure of YTaSiAs2 from the Alexandria database. Energies are from PBE.

Cell lengths 5.2069, 5.3829, 5.2069 Å; angles 90.00, 90.00, 90.00 degrees
Closest atoms and distances in Å follow each position.
Atoms (fractional coordinates):
As (0.5000, 0.0000, 0.0000)  2 Y 2.60
As (0.0000, 0.0000, 0.5000)  2 Y 2.60
Y (0.0000, 0.0000, 0.0000)  4 As 2.60, 2 Ta 2.69
Si (0.5000, 0.5000, 0.5000)  4 Ta 3.68, 8 As 3.74
Ta (0.0000, 0.5000, 0.0000)  2 Y 2.69

Its uncorrected formation energy is 7.92 eV/f.u. Its volume is 145.94 Å³/cell. The total energy comes out at -5.02 eV per atom. As for the crystal system: tetragonal. Its calculated density is 5.1 g cm⁻³. The space group is No. 123.

Here is an optimized crystal structure of Tb5Si2As from the Alexandria database. Energies are from PBE.

Cell lengths 7.5774, 7.5774, 8.6422 Å; angles 116.00, 116.00, 90.00 degrees
Closest atoms and distances in Å follow each position.
Atoms (fractional coordinates):
Tb (0.8125, 0.9764, 0.2889)  3 Si 2.95-2.99, 2 As 3.16
Tb (0.4764, 0.3125, 0.2889)  3 Si 2.95-2.99, 2 As 3.16
Tb (0.9764, 0.4764, 0.2889)  3 Si 2.95-2.99, 2 As 3.16
Tb (0.1875, 0.0236, 0.7111)  3 Si 2.95-2.99, 2 As 3.16
Tb (0.5000, 0.5000, 0.0000)  4 Si 2.99
Tb (0.3125, 0.8125, 0.2889)  3 Si 2.95-2.99, 2 As 3.16
Tb (0.6875, 0.1875, 0.7111)  3 Si 2.95-2.99, 2 As 3.16
Tb (0.0236, 0.5236, 0.7111)  3 Si 2.95-2.99, 2 As 3.16
Tb (0.0000, 0.0000, 0.0000)  4 Si 2.99
Tb (0.5236, 0.6875, 0.7111)  3 Si 2.95-2.99, 2 As 3.16
As (0.2500, 0.2500, 0.5000)  10 Tb 3.16-3.39
As (0.7500, 0.7500, 0.5000)  10 Tb 3.16-3.39
Si (0.3735, 0.8735, 0.0000)  1 Si 2.71, 8 Tb 2.95-2.99
Si (0.1265, 0.3735, 0.0000)  1 Si 2.71, 8 Tb 2.95-2.99
Si (0.6265, 0.1265, 0.0000)  1 Si 2.71, 8 Tb 2.95-2.99
Si (0.8735, 0.6265, 0.0000)  1 Si 2.71, 8 Tb 2.95-2.99

Its uncorrected formation energy is -6.10 eV/f.u. Its volume is 389.33 Å³/cell. The total energy comes out at -5.59 eV per atom. As for the crystal system: tetragonal. Its calculated density is 7.9 g cm⁻³. The space group is No. 140.

Here is an optimized crystal structure of Tb2SiAs from the Alexandria database. Energies are from PBE.

Cell lengths 3.9636, 4.2417, 11.4973 Å; angles 100.63, 90.00, 90.00 degrees
Closest atoms and distances in Å follow each position.
Atoms (fractional coordinates):
Si (0.2500, 0.4637, 0.9273)  2 Si 2.57
Si (0.7500, 0.5363, 0.0727)  2 Si 2.57
As (0.2500, 0.1882, 0.3763)  6 Tb 2.79-2.90
As (0.7500, 0.8118, 0.6237)  6 Tb 2.79-2.90
Tb (0.2500, 0.0646, 0.1292)  1 As 2.79, 6 Si 2.97-3.11
Tb (0.7500, 0.9354, 0.8708)  1 As 2.79, 6 Si 2.97-3.11
Tb (0.2500, 0.3153, 0.6305)  5 As 2.87-2.90
Tb (0.7500, 0.6847, 0.3695)  5 As 2.87-2.90

Its uncorrected formation energy is -4.61 eV/f.u. Its volume is 189.98 Å³/cell. The total energy comes out at -5.98 eV per atom. As for the crystal system: orthorhombic. Its calculated density is 7.4 g cm⁻³. The value obtained for the excess energy over the best structure of this formula in the dataset is 0 meV per atom. The space group is No. 63.

Here is an optimized crystal structure of Tb5Si2As2 from the Alexandria database. Energies are from PBE.

Cell lengths 7.6357, 7.6904, 8.2472 Å; angles 90.00, 62.42, 90.00 degrees
Closest atoms and distances in Å follow each position.
Atoms (fractional coordinates):
Tb (0.9639, 0.3322, 0.7284)  3 As 2.98-3.03, 3 Si 3.00-3.02
Tb (0.0361, 0.6678, 0.2716)  3 As 2.98-3.03, 3 Si 3.00-3.02
Tb (0.5000, 0.5000, 0.0000)  2 As 2.95, 4 Si 3.04-3.06
Tb (0.8076, 0.8322, 0.7284)  3 As 2.98-3.03, 3 Si 3.00-3.02
Tb (0.3076, 0.6678, 0.7284)  3 As 2.98-3.03, 3 Si 3.00-3.02
Tb (0.6924, 0.3322, 0.2716)  3 As 2.98-3.03, 3 Si 3.00-3.02
Tb (0.1924, 0.1678, 0.2716)  3 As 2.98-3.03, 3 Si 3.00-3.02
Tb (0.5361, 0.8322, 0.2716)  3 As 2.98-3.03, 3 Si 3.00-3.02
Tb (0.0000, 0.0000, 0.0000)  2 As 2.95, 4 Si 3.04-3.06
Tb (0.4639, 0.1678, 0.7284)  3 As 2.98-3.03, 3 Si 3.00-3.02
Si (0.6206, 0.1209, 0.0000)  1 Si 2.62
Si (0.3794, 0.8791, 0.0000)  1 Si 2.62
Si (0.8794, 0.6209, 0.0000)  1 Si 2.62
Si (0.1206, 0.3791, 0.0000)  1 Si 2.62
As (0.7021, 0.5000, 0.5959)  7 Tb 2.95-3.03
As (0.7979, 0.0000, 0.4041)  7 Tb 2.95-3.03
As (0.2021, 0.0000, 0.5959)  7 Tb 2.95-3.03
As (0.2979, 0.5000, 0.4041)  7 Tb 2.95-3.03

Its uncorrected formation energy is -9.61 eV/f.u. Its volume is 429.28 Å³/cell. The total energy comes out at -5.88 eV per atom. As for the crystal system: orthorhombic. Its calculated density is 7.7 g cm⁻³. The space group is No. 64.

Here is an optimized crystal structure of Tb4SiAs3 from the Alexandria database. Energies are from PBE.

Cell lengths 5.8496, 5.8496, 5.8496 Å; angles 90.00, 90.00, 90.00 degrees
Closest atoms and distances in Å follow each position.
Atoms (fractional coordinates):
Tb (0.0000, 0.0000, 0.5000)  4 As 2.92, 2 Si 2.92
Tb (0.5000, 0.0000, 0.0000)  4 As 2.92, 2 Si 2.92
Tb (0.5000, 0.5000, 0.5000)  6 As 2.92
Tb (0.0000, 0.5000, 0.0000)  4 As 2.92, 2 Si 2.92
As (0.5000, 0.0000, 0.5000)  6 Tb 2.92
As (0.0000, 0.5000, 0.5000)  6 Tb 2.92
As (0.5000, 0.5000, 0.0000)  6 Tb 2.92
Si (0.0000, 0.0000, 0.0000)  6 Tb 2.92

Its uncorrected formation energy is -10.10 eV/f.u. Its volume is 200.16 Å³/cell. The total energy comes out at -6.00 eV per atom. As for the crystal system: cubic. Its calculated density is 7.4 g cm⁻³. The space group is No. 221.

Here is an optimized crystal structure of TbSiAs from the Alexandria database. Energies are from PBE.

Cell lengths 3.8515, 4.0309, 8.3668 Å; angles 76.06, 90.00, 90.00 degrees
Closest atoms and distances in Å follow each position.
Atoms (fractional coordinates):
Tb (0.7500, 0.1077, 0.7846)  6 Si 2.98-3.17, 4 As 3.02-3.05
Tb (0.2500, 0.8923, 0.2154)  6 Si 2.98-3.17, 4 As 3.02-3.05
Si (0.7500, 0.4568, 0.0863)  2 Si 2.38
Si (0.2500, 0.5432, 0.9137)  2 Si 2.38
As (0.7500, 0.7487, 0.5026)  4 As 2.79, 4 Tb 3.02-3.05
As (0.2500, 0.2513, 0.4974)  4 As 2.79, 4 Tb 3.02-3.05

Its uncorrected formation energy is -2.37 eV/f.u. Its volume is 126.07 Å³/cell. The total energy comes out at -5.69 eV per atom. As for the crystal system: orthorhombic. Its calculated density is 6.9 g cm⁻³. The space group is No. 63.

Here is an optimized crystal structure of Tb2SiAs from the Alexandria database. Energies are from PBE.

Cell lengths 3.9181, 3.9181, 9.4224 Å; angles 78.00, 78.00, 60.00 degrees
Closest atoms and distances in Å follow each position.
Atoms (fractional coordinates):
Tb (0.1046, 0.1046, 0.6863)  3 As 2.83, 1 Si 2.87
Tb (0.8954, 0.8954, 0.3137)  3 As 2.83, 1 Si 2.87
As (0.5000, 0.5000, 0.5000)  6 Tb 2.83
Si (0.0000, 0.0000, 0.0000)  2 Tb 2.87

Its uncorrected formation energy is -1.17 eV/f.u. Its volume is 121.61 Å³/cell. The total energy comes out at -5.13 eV per atom. As for the crystal system: trigonal. Its calculated density is 5.7 g cm⁻³. The value obtained for the excess energy over the best structure of this formula in the dataset is 859 meV per atom. The space group is No. 166.

Here is an optimized crystal structure of Tb6Si2Te3As from the Alexandria database. Energies are from PBE.

Cell lengths 4.2331, 8.6286, 9.6015 Å; angles 104.30, 102.73, 90.00 degrees
Closest atoms and distances in Å follow each position.
Atoms (fractional coordinates):
Si (0.1666, 0.3327, 0.3332)  6 Tb 2.86-2.90
Si (0.8334, 0.6673, 0.6668)  6 Tb 2.86-2.90
Tb (0.3382, 0.8966, 0.6764)  2 Si 2.88, 1 As 2.93, 3 Te 3.15-3.16
Tb (0.3265, 0.4339, 0.6531)  3 Si 2.90, 3 Te 3.15-3.17
Tb (0.9912, 0.7635, 0.9823)  1 Si 2.86, 2 As 2.92, 3 Te 3.14-3.16
Tb (0.6618, 0.1034, 0.3236)  2 Si 2.88, 1 As 2.93, 3 Te 3.15-3.16
Tb (0.0088, 0.2365, 0.0177)  1 Si 2.86, 2 As 2.92, 3 Te 3.14-3.16
Tb (0.6735, 0.5661, 0.3469)  3 Si 2.90, 3 Te 3.15-3.17
Te (0.1651, 0.8338, 0.3302)  6 Tb 3.15-3.17
Te (0.5000, 0.5000, 0.0000)  6 Tb 3.14-3.15
Te (0.8349, 0.1662, 0.6698)  6 Tb 3.15-3.17
As (0.5000, 0.0000, 0.0000)  6 Tb 2.92-2.93

Its uncorrected formation energy is -15.12 eV/f.u. Its volume is 330.93 Å³/cell. The total energy comes out at -5.65 eV per atom. As for the crystal system: monoclinic. Its calculated density is 7.4 g cm⁻³. The space group is No. 12.

Here is an optimized crystal structure of Tb8SiTe4As3 from the Alexandria database. Energies are from PBE.

Cell lengths 8.4450, 8.6165, 8.4446 Å; angles 119.35, 120.00, 90.00 degrees
Closest atoms and distances in Å follow each position.
Atoms (fractional coordinates):
Tb (0.2374, 0.7185, 0.4748)  1 Si 2.86, 2 As 2.90, 3 Te 3.14-3.18
Tb (0.7396, 0.7188, 0.4792)  3 As 2.89, 3 Te 3.15
Tb (0.7626, 0.2815, 0.5252)  1 Si 2.86, 2 As 2.90, 3 Te 3.14-3.18
Tb (0.2604, 0.2812, 0.5208)  3 As 2.89, 3 Te 3.15
Tb (0.2560, 0.2814, 0.0186)  1 Si 2.86, 2 As 2.90, 3 Te 3.14-3.18
Tb (0.7440, 0.7186, 0.9814)  1 Si 2.86, 2 As 2.90, 3 Te 3.14-3.18
Tb (0.7626, 0.2814, 0.0186)  1 Si 2.86, 2 As 2.90, 3 Te 3.14-3.18
Tb (0.2374, 0.7186, 0.9814)  1 Si 2.86, 2 As 2.90, 3 Te 3.14-3.18
Te (0.0000, 0.0000, 0.5000)  6 Tb 3.14-3.15
Te (0.5000, 0.0000, 0.0000)  6 Tb 3.18
Te (0.0000, 0.0000, 0.0000)  6 Tb 3.14-3.15
Te (0.5000, 0.0000, 0.5000)  6 Tb 3.14-3.15
As (0.5000, 0.5000, 0.5000)  6 Tb 2.89-2.90
As (0.5000, 0.5000, 0.0000)  6 Tb 2.89-2.90
As (0.0000, 0.5000, 0.5000)  6 Tb 2.89-2.90
Si (0.0000, 0.5000, 0.0000)  6 Tb 2.86

Its uncorrected formation energy is -22.79 eV/f.u. Its volume is 438.72 Å³/cell. The total energy comes out at -5.74 eV per atom. As for the crystal system: trigonal. Its calculated density is 7.7 g cm⁻³. The space group is No. 166.

Here is an optimized crystal structure of Tb8Si3Te4As from the Alexandria database. Energies are from PBE.

Cell lengths 8.4683, 8.6302, 8.4684 Å; angles 119.38, 120.00, 90.00 degrees
Closest atoms and distances in Å follow each position.
Atoms (fractional coordinates):
Tb (0.7584, 0.2810, 0.5169)  2 Si 2.89, 1 As 2.92, 3 Te 3.14-3.17
Tb (0.2416, 0.7190, 0.4831)  2 Si 2.89, 1 As 2.92, 3 Te 3.14-3.17
Tb (0.2640, 0.2811, 0.0225)  2 Si 2.89, 1 As 2.92, 3 Te 3.14-3.17
Tb (0.2415, 0.7189, 0.9775)  2 Si 2.89, 1 As 2.92, 3 Te 3.14-3.17
Tb (0.7401, 0.7204, 0.4803)  3 Si 2.90, 3 Te 3.15
Tb (0.7585, 0.2811, 0.0225)  2 Si 2.89, 1 As 2.92, 3 Te 3.14-3.17
Tb (0.2599, 0.2796, 0.5197)  3 Si 2.90, 3 Te 3.15
Tb (0.7360, 0.7189, 0.9775)  2 Si 2.89, 1 As 2.92, 3 Te 3.14-3.17
Te (0.0000, 0.0000, 0.0000)  6 Tb 3.15-3.17
Te (0.0000, 0.0000, 0.5000)  6 Tb 3.15-3.17
Te (0.5000, 0.0000, 0.5000)  6 Tb 3.15-3.17
Te (0.5000, 0.0000, 0.0000)  6 Tb 3.14
As (0.0000, 0.5000, 0.0000)  6 Tb 2.92
Si (0.5000, 0.5000, 0.5000)  6 Tb 2.89-2.90
Si (0.5000, 0.5000, 0.0000)  6 Tb 2.89-2.90
Si (0.0000, 0.5000, 0.5000)  6 Tb 2.89-2.90

Its uncorrected formation energy is -19.61 eV/f.u. Its volume is 441.66 Å³/cell. The total energy comes out at -5.63 eV per atom. As for the crystal system: trigonal. Its calculated density is 7.3 g cm⁻³. The space group is No. 166.

Here is an optimized crystal structure of Tb4SiTe2As from the Alexandria database. Energies are from PBE.

Cell lengths 4.2309, 7.3349, 7.4984 Å; angles 108.96, 90.00, 90.00 degrees
Closest atoms and distances in Å follow each position.
Atoms (fractional coordinates):
Tb (0.5000, 0.2440, 0.2192)  1 Si 2.87, 2 As 2.91, 3 Te 3.14-3.18
Tb (0.5000, 0.7560, 0.7808)  1 Si 2.87, 2 As 2.91, 3 Te 3.14-3.18
Tb (0.0000, 0.7360, 0.2197)  2 Si 2.89, 1 As 2.92, 3 Te 3.13-3.16
Tb (0.0000, 0.2640, 0.7803)  2 Si 2.89, 1 As 2.92, 3 Te 3.13-3.16
Te (0.5000, 0.0000, 0.5000)  6 Tb 3.16-3.18
Te (0.0000, 0.5000, 0.5000)  6 Tb 3.13-3.14
As (0.0000, 0.0000, 0.0000)  6 Tb 2.91-2.92
Si (0.5000, 0.5000, 0.0000)  6 Tb 2.87-2.89

Its uncorrected formation energy is -10.65 eV/f.u. Its volume is 220.07 Å³/cell. The total energy comes out at -5.69 eV per atom. As for the crystal system: monoclinic. Its calculated density is 7.5 g cm⁻³. The space group is No. 10.

Here is an optimized crystal structure of SiTc2As from the Alexandria database. Energies are from PBE.

Cell lengths 2.8648, 2.8648, 7.7340 Å; angles 90.00, 90.00, 90.00 degrees
Closest atoms and distances in Å follow each position.
Atoms (fractional coordinates):
Si (0.5000, 0.5000, 0.7992)  4 Tc 2.60, 4 Si 2.86
As (0.0000, 0.0000, 0.4600)  4 Tc 2.69, 4 As 2.86
Tc (0.0000, 0.0000, 0.0098)  4 Si 2.60, 8 Tc 2.65-2.86
Tc (0.5000, 0.5000, 0.2311)  8 Tc 2.65-2.86, 4 As 2.69

Its uncorrected formation energy is 0.03 eV/f.u. Its volume is 63.47 Å³/cell. The total energy comes out at -7.69 eV per atom. As for the crystal system: tetragonal. Its calculated density is 7.8 g cm⁻³. The value obtained for the excess energy over the best structure of this formula in the dataset is 292 meV per atom. The space group is No. 99.